Entry 1:
TaMn2Pt (SCAN, PBEsol geometry); energy relative to the lowest polymorph listed for this composition = 0.1798 eV per atom; space group = C2/m (12); calculated formation energy = -0.337 eV/atom; ρ = 14.26 g/cm3
1.0
4.4112 -1.3693 0.0000
4.4112 1.3693 0.0000
-0.9544 0.0000 4.6822
Ta Mn Pt
1 2 1
Cartesian
0.0000 0.0000 0.0000
1.4659 0.0000 3.4946
6.4021 0.0000 1.1876
3.9340 0.0000 2.3411


Entry 2:
TaMn4Pt (SCAN, PBEsol geometry); space group = F-43m (216); calculated formation energy = -0.135 eV/atom; ρ = 13.52 g/cm3
1.0
0.0000 3.3197 3.3197
3.3197 0.0000 3.3197
3.3197 3.3197 0.0000
Ta Mn Pt
1 4 1
Cartesian
0.0000 0.0000 0.0000
2.5141 2.5141 2.5141
4.1253 4.1253 2.5141
4.1253 2.5141 4.1253
2.5141 4.1253 4.1253
4.9795 4.9795 4.9795


Entry 3:
TaMn2Pt (SCAN, PBEsol geometry); energy relative to the lowest polymorph listed for this composition = 0.0125 eV per atom; space group = I-4m2 (119); calculated formation energy = -0.504 eV/atom; ρ = 14.72 g/cm3
1.0
-1.8679 1.8679 3.9287
1.8679 -1.8679 3.9287
1.8679 1.8679 -3.9287
Ta Mn Pt
1 2 1
Cartesian
0.0000 0.0000 0.0000
1.8679 0.0000 1.9644
0.0000 0.0000 3.9287
0.0000 1.8679 1.9644


Entry 4:
MnTcPt2 (SCAN, PBEsol geometry); energy relative to the lowest polymorph listed for this composition = 0.0000 eV per atom; space group = I-4m2 (119); calculated formation energy = -0.358 eV/atom; ρ = 16.21 g/cm3
1.0
-1.9083 1.9083 3.8203
1.9083 -1.9083 3.8203
1.9083 1.9083 -3.8203
Mn Tc Pt
1 1 2
Cartesian
0.0000 0.0000 0.0000
1.9083 0.0000 1.9102
0.0000 0.0000 3.8203
0.0000 1.9083 1.9102


Entry 5:
MnTc2Pt (SCAN, PBEsol geometry); energy relative to the lowest polymorph listed for this composition = 0.0691 eV per atom; space group = Amm2 (38); calculated formation energy = -0.146 eV/atom; ρ = 13.69 g/cm3
1.0
4.1088 0.0000 0.0000
0.0000 1.3182 4.9949
0.0000 -1.3182 4.9949
Mn Tc Pt
1 2 1
Cartesian
0.0000 0.0000 0.0000
0.0000 0.0000 7.5711
2.0544 0.0000 4.0180
2.0544 0.0000 1.3867


Entry 6:
MnTc2Pt (SCAN, PBEsol geometry); energy relative to the lowest polymorph listed for this composition = 0.0000 eV per atom; space group = Pmm2 (25); calculated formation energy = -0.215 eV/atom; ρ = 13.63 g/cm3
1.0
2.6639 0.0000 0.0000
0.0000 3.7924 0.0000
0.0000 0.0000 5.3804
Mn Tc Pt
1 2 1
Cartesian
0.0000 0.0000 0.0000
0.0000 0.0000 2.8216
1.3319 1.8962 4.0923
1.3319 1.8962 1.3564


Entry 7:
MnTcPt2 (SCAN, PBEsol geometry); energy relative to the lowest polymorph listed for this composition = 0.1607 eV per atom; space group = P4mm (99); calculated formation energy = -0.198 eV/atom; ρ = 15.87 g/cm3
1.0
3.2285 0.0000 0.0000
0.0000 3.2285 0.0000
0.0000 0.0000 5.4535
Mn Tc Pt
1 1 2
Cartesian
0.0000 0.0000 0.0000
1.6143 1.6143 4.0996
0.0000 0.0000 2.7611
1.6143 1.6143 1.2749


Entry 8:
MnTc2Pt (SCAN, PBEsol geometry); energy relative to the lowest polymorph listed for this composition = 0.1021 eV per atom; space group = F-43m (216); calculated formation energy = -0.113 eV/atom; ρ = 13.15 g/cm3
1.0
0.0000 3.0426 3.0426
3.0426 0.0000 3.0426
3.0426 3.0426 0.0000
Mn Tc Pt
1 2 1
Cartesian
0.0000 0.0000 0.0000
3.0426 3.0426 3.0426
4.5640 4.5640 4.5640
1.5213 1.5213 1.5213


Entry 9:
Mn2TcPt (SCAN, PBEsol geometry); space group = Fm-3m (225); calculated formation energy = -0.501 eV/atom; ρ = 12.36 g/cm3
1.0
0.0000 3.0025 3.0025
3.0025 0.0000 3.0025
3.0025 3.0025 0.0000
Mn Tc Pt
2 1 1
Cartesian
1.5013 1.5013 1.5013
4.5038 4.5038 4.5038
0.0000 0.0000 0.0000
3.0025 3.0025 3.0025


Entry 10:
MnTcPt2 (SCAN, PBEsol geometry); energy relative to the lowest polymorph listed for this composition = 0.0615 eV per atom; space group = C2/m (12); calculated formation energy = -0.297 eV/atom; ρ = 16.04 g/cm3
1.0
4.4982 -1.3669 0.0000
4.4982 1.3669 0.0000
-0.8209 0.0000 4.5729
Mn Tc Pt
1 1 2
Cartesian
0.0000 0.0000 0.0000
4.0878 0.0000 2.2865
1.6355 0.0000 3.4237
6.5401 0.0000 1.1492


Entry 11:
MnTePt3 (SCAN, PBEsol geometry); space group = Pm-3m (221); E_form (uncorrected) = 0.743 eV/atom; ρ = 13.01 g/cm3
1.0
4.6108 0.0000 0.0000
0.0000 4.6108 0.0000
0.0000 0.0000 4.6108
Mn Te Pt
1 1 3
Cartesian
0.0000 0.0000 0.0000
2.3054 2.3054 2.3054
0.0000 0.0000 2.3054
0.0000 2.3054 0.0000
2.3054 0.0000 0.0000


Entry 12:
Mn3TePt (SCAN, PBEsol geometry); space group = Pm-3m (221); E_form (uncorrected) = 0.852 eV/atom; ρ = 7.73 g/cm3
1.0
4.7128 0.0000 0.0000
0.0000 4.7128 0.0000
0.0000 0.0000 4.7128
Mn Te Pt
3 1 1
Cartesian
0.0000 0.0000 2.3564
0.0000 2.3564 0.0000
2.3564 0.0000 0.0000
0.0000 0.0000 0.0000
2.3564 2.3564 2.3564


DOS(E_F), record by record: 3.27, 5.99, 2.67, 3.19, 2.80, 3.39, 3.14, 0.85, 0.83, 2.86, 2.57, 4.05 states/eV/cell